Density functional theory data (PBEsol) for AsBrOF2 after structural relaxation.

The structure in extended XYZ format:
```
5
Lattice="4.011 0.000 0.000 0.000 4.011 0.000 0.000 0.000 4.306" Properties=species:S:1:pos:R:3 pbc="T T T"
As 0.000 0.000 0.000
Br 2.005 2.005 2.153
O 0.000 0.000 2.153
F 0.000 2.005 0.000
F 2.005 0.000 0.000
```

As for the energy relative to the elements, uncorrected: -3.7 eV/f.u. The crystal system is tetragonal.



Density functional theory data (PBEsol) for YNi2MoRu after structural relaxation.

The structure in extended XYZ format:
```
5
Lattice="4.488 0.000 0.000 0.000 4.488 0.000 0.000 0.000 4.804" Properties=species:S:1:pos:R:3 pbc="T T T"
Y 0.000 0.000 0.000
Ni 0.000 2.244 2.402
Ni 2.244 0.000 2.402
Mo 2.244 2.244 0.000
Ru 0.000 0.000 2.402
```

The crystal system is tetragonal. The calculation puts the formation energy at 1.429 eV per atom.



Density functional theory data (PBEsol) for Cu3Pt after structural relaxation.

The structure in extended XYZ format:
```
4
Lattice="1.317 0.760 8.279 -1.317 0.760 8.279 0.000 -1.521 8.279" Properties=species:S:1:pos:R:3 pbc="T T T"
Cu 0.000 0.000 0.000
Cu 0.000 0.000 6.305
Cu 0.000 0.000 18.531
Pt 0.000 0.000 12.418
```

The crystal system is trigonal. The calculation puts the formation energy at -0.053 eV per atom.



Density functional theory data (PBEsol) for N after structural relaxation.

The structure in extended XYZ format:
```
16
Lattice="7.211 0.000 0.000 0.000 3.146 0.000 0.000 0.000 7.163" Properties=species:S:1:pos:R:3 pbc="T T T"
N 0.000 0.000 0.000
N 0.000 0.000 3.581
N 0.000 0.217 1.172
N 0.000 2.928 5.991
N 1.191 0.000 3.581
N 1.803 0.034 5.372
N 1.803 3.111 1.791
N 2.414 0.000 0.000
N 3.605 0.000 0.000
N 3.605 0.000 3.581
N 3.605 0.217 2.409
N 3.605 2.928 4.753
N 4.797 0.000 0.000
N 5.408 0.034 5.372
N 5.408 3.111 1.791
N 6.020 0.000 3.581
```

As for the energy relative to the elements, uncorrected: 1.9 eV/f.u. The crystal system is orthorhombic. For the energy relative to the lowest polymorph listed for this composition, the calculation gives 1869 meV per atom.



Density functional theory data (PBEsol) for ScTeNF2 after structural relaxation.

The structure in extended XYZ format:
```
5
Lattice="3.902 0.000 0.000 0.000 3.902 0.000 0.000 0.000 4.770" Properties=species:S:1:pos:R:3 pbc="T T T"
Sc 0.000 0.000 0.000
Te 1.951 1.951 2.385
N 0.000 0.000 2.385
F 0.000 1.951 0.000
F 1.951 0.000 0.000
```

As for the energy relative to the elements, uncorrected: -8.2 eV/f.u. The crystal system is tetragonal.



Density functional theory data (PBEsol) for CaInRh2 after structural relaxation.

The structure in extended XYZ format:
```
4
Lattice="5.121 -1.525 0.000 5.121 1.525 0.000 -1.512 0.000 4.456" Properties=species:S:1:pos:R:3 pbc="T T T"
Ca 0.000 0.000 0.000
In 1.272 0.000 2.819
Rh 4.118 0.000 2.204
Rh 7.530 0.000 0.698
```

The crystal system is monoclinic. The calculation puts the formation energy at -0.300 eV per atom.